The following is a DFT calculation (PBE) of a geometry-optimized SmMoN4 structure.

Unit cell a=4.8926 b=4.8926 c=7.5269 alpha=90.00 beta=90.00 gamma=95.90
Closest atoms and distances in Å follow each position.
Fractional coordinates of all 12 atoms:
N: 0.8864 0.2859 0.7500  1 Mo 1.86
N: 0.7322 0.7322 0.9471  1 Mo 1.89
N: 0.2678 0.2678 0.0529  1 Mo 1.89
N: 0.7322 0.7322 0.5529  1 Mo 1.89
N: 0.1136 0.7141 0.2500  1 Mo 1.86
N: 0.7141 0.1136 0.2500  1 Mo 1.86
N: 0.2678 0.2678 0.4471  1 Mo 1.89
N: 0.2859 0.8864 0.7500  1 Mo 1.86
Sm: 0.4059 0.4059 0.7500  8 N 2.45-2.60
Sm: 0.5941 0.5941 0.2500  8 N 2.45-2.60
Mo: 0.0904 0.0904 0.2500  4 N 1.86-1.89
Mo: 0.9096 0.9096 0.7500  4 N 1.86-1.89

Output
Space group: Cmcm
Calculated total energy in eV/cell: -96.12
E_form (uncorrected) in eV/atom: 0.132
M_tot in μB/atom: 0.274